No. 1
This record from Alexandria via LeMat-Bulk describes a geometry-optimized La3Pr3InHg2 structure. The functional is PBE.

* E_form: -0.29 eV per atom

```
La3Pr3InHg2
1.0
9.2677 0.0000 0.0000
-4.6338 8.0261 0.0000
0.0000 0.0000 3.8423
La Pr In Hg
3 3 1 2
Cartesian
-3.2995 5.7149 0.0000
1.3343 2.3111 0.0000
6.5991 0.0000 0.0000
-1.7887 3.0981 1.9211
3.5774 0.0000 1.9211
2.8451 4.9279 1.9211
0.0000 0.0000 1.9211
0.0000 5.3507 0.0000
4.6339 2.6753 0.0000
```



No. 2
This record from Alexandria via LeMat-Bulk describes a geometry-optimized UCuPd14 structure. The functional is PBE.

* E_form: -0.21 eV per atom

```
UCuPd14
1.0
5.7425 0.0000 0.0000
0.0000 5.7425 0.0000
0.0000 0.0000 7.6655
U Cu Pd
1 1 14
Cartesian
0.0000 0.0000 0.0000
2.8713 2.8713 0.0000
0.0000 0.0000 3.8328
0.0000 2.8713 0.0000
0.0000 2.8713 3.8328
1.4376 1.4376 1.8754
1.4376 1.4376 5.7901
1.4376 4.3049 1.8754
1.4376 4.3049 5.7901
2.8713 0.0000 0.0000
2.8713 0.0000 3.8328
2.8713 2.8713 3.8328
4.3049 1.4376 1.8754
4.3049 1.4376 5.7901
4.3049 4.3049 1.8754
4.3049 4.3049 5.7901
```



No. 3
This record from Alexandria via LeMat-Bulk describes a geometry-optimized CaMg2Ir structure. The functional is PBE.

* E_form: 0.09 eV per atom

```
CaMg2Ir
1.0
3.2242 0.0000 0.0000
-1.6121 2.7923 0.0000
0.0000 0.0000 29.1941
Ca Mg Ir
3 6 3
Cartesian
0.0000 0.0000 0.0000
0.0000 1.8615 19.4627
1.6121 0.9308 9.7313
0.0000 0.0000 6.7907
0.0000 0.0000 22.4033
0.0000 1.8615 12.6720
0.0000 1.8615 26.2534
1.6121 0.9308 2.9407
1.6121 0.9308 16.5221
0.0000 0.0000 14.5970
0.0000 1.8615 4.8657
1.6121 0.9308 24.3284
```



No. 4
This record from Alexandria via LeMat-Bulk describes a geometry-optimized NbOsPd2C structure. The functional is PBE.

* E_form: 0.41 eV per atom

```
NbOsPd2C
1.0
4.0677 0.0000 0.0000
0.0000 4.0677 0.0000
0.0000 0.0000 4.3120
Nb Os Pd C
1 1 2 1
Cartesian
0.0000 0.0000 0.0000
2.0338 2.0338 0.0000
0.0000 2.0338 2.1560
2.0338 0.0000 2.1560
0.0000 0.0000 2.1560
```



No. 5
This record from Alexandria via LeMat-Bulk describes a geometry-optimized Sc2AgPt structure. The functional is PBE.

* E_form: -0.04 eV per atom

```
Sc2AgPt
1.0
3.0420 0.0000 0.0000
-1.5210 2.6344 0.0000
0.0000 0.0000 29.9450
Sc Ag Pt
6 3 3
Cartesian
0.0000 0.0000 2.5289
0.0000 0.0000 27.4161
0.0000 1.7563 17.4345
0.0000 1.7563 22.4921
1.5210 0.8781 7.4528
1.5210 0.8781 12.5105
0.0000 0.0000 14.9725
0.0000 1.7563 4.9908
1.5210 0.8781 24.9541
0.0000 0.0000 0.0000
0.0000 1.7563 19.9633
1.5210 0.8781 9.9816
```



No. 6
This record from Alexandria via LeMat-Bulk describes a geometry-optimized Na2Ge2As3 structure. The functional is PBE.

* E_form: -0.15 eV per atom

```
Na2Ge2As3
1.0
14.8611 0.0000 0.0000
0.0000 3.8054 0.0000
-3.3460 0.0000 6.7883
Na Ge As
4 4 6
Cartesian
0.3907 0.0000 2.3852
3.6938 1.9027 4.4031
7.8213 1.9027 2.3852
11.1243 0.0000 4.4031
-0.1293 1.9027 5.4818
4.2138 0.0000 1.3064
7.3013 0.0000 5.4818
11.6444 1.9027 1.3064
-1.6730 1.9027 3.3941
2.5486 1.9027 1.1957
1.5360 0.0000 5.5926
5.7575 0.0000 3.3941
9.9791 0.0000 1.1957
8.9665 1.9027 5.5926
```



No. 7
This record from Alexandria via LeMat-Bulk describes a geometry-optimized Sm8DyY3 structure. The functional is PBE.

* E_form: 0.32 eV per atom

```
Sm8DyY3
1.0
-3.3035 5.6531 5.7550
3.3035 -5.6531 5.7550
3.3035 5.6531 -5.7550
Sm Dy Y
8 1 3
Cartesian
3.3038 3.7922 -2.8780
1.6556 2.8098 -0.0308
4.9515 2.8098 0.0308
-0.0003 1.8609 2.8770
3.3033 3.7922 2.8780
1.6479 2.8433 5.7241
-1.6479 2.8433 5.7858
0.0003 1.8609 8.6330
0.0000 0.0000 0.0000
3.3035 0.0000 2.8754
0.0000 0.0000 5.7550
0.0000 5.6531 2.8796
```



No. 8
This record from Alexandria via LeMat-Bulk describes a geometry-optimized Be2InO structure. The functional is PBE.

* formation energy (no corrections): 3.2 eV/f.u.
* polymorph energy (0 for the lowest one): 1501.7 meV per atom

```
Be2InO
1.0
5.9769 0.0000 0.0000
0.0000 5.9769 0.0000
0.0000 0.0000 5.9769
Be In O
8 4 4
Cartesian
1.4942 1.4942 1.4942
1.4942 1.4942 4.4827
1.4942 4.4827 1.4942
1.4942 4.4827 4.4827
4.4827 1.4942 1.4942
4.4827 1.4942 4.4827
4.4827 4.4827 1.4942
4.4827 4.4827 4.4827
0.0000 0.0000 0.0000
0.0000 2.9884 2.9884
2.9884 0.0000 2.9884
2.9884 2.9884 0.0000
0.0000 0.0000 2.9884
0.0000 2.9884 0.0000
2.9884 0.0000 0.0000
2.9884 2.9884 2.9884
```



No. 9
This record from Alexandria via LeMat-Bulk describes a geometry-optimized FePb2 structure. The functional is PBE.

* E_form: 0.63 eV per atom

```
FePb2
1.0
5.0616 0.0000 0.0000
-2.5308 4.3835 0.0000
0.0000 0.0000 6.6574
Fe Pb
2 4
Cartesian
0.0000 2.9223 1.6644
2.5308 1.4612 4.9931
0.0000 0.0000 0.0000
0.0000 0.0000 3.3287
0.0000 2.9223 4.9931
2.5308 1.4612 1.6644
```



No. 10
This record from Alexandria via LeMat-Bulk describes a geometry-optimized NbNiS structure. The functional is PBE.

* formation energy (no corrections): -1.6 eV/f.u.
* polymorph energy (0 for the lowest one): 38.6 meV per atom

```
NbNiS
1.0
4.7611 0.0000 0.0000
0.0000 3.3639 0.0000
-1.6987 0.0000 5.4064
Nb Ni S
2 2 2
Cartesian
0.2937 0.8410 2.2365
2.7687 2.5229 3.1699
-0.8515 0.8410 4.9741
3.9139 2.5229 0.4322
0.4848 2.5229 4.0822
2.5776 0.8410 1.3242
```



No. 11
This record from Alexandria via LeMat-Bulk describes a geometry-optimized Ca2TcBr structure. The functional is PBE.

* formation energy (no corrections): 2.1 eV/f.u.
* polymorph energy (0 for the lowest one): 776.3 meV per atom

```
Ca2TcBr
1.0
7.3474 0.0000 0.0000
0.0000 7.3474 0.0000
0.0000 0.0000 7.3474
Ca Tc Br
8 4 4
Cartesian
0.0000 0.0000 0.0000
0.0000 3.6737 3.6737
1.8368 1.8368 1.8368
1.8368 5.5105 5.5105
3.6737 0.0000 3.6737
3.6737 3.6737 0.0000
5.5105 1.8368 5.5105
5.5105 5.5105 1.8368
0.0000 0.0000 3.6737
0.0000 3.6737 0.0000
3.6737 0.0000 0.0000
3.6737 3.6737 3.6737
1.8368 1.8368 5.5105
1.8368 5.5105 1.8368
5.5105 1.8368 1.8368
5.5105 5.5105 5.5105
```



No. 12
This record from Alexandria via LeMat-Bulk describes a geometry-optimized YZrIrRh structure. The functional is PBE.

* E_form: -0.82 eV per atom

```
YZrIrRh
1.0
3.3528 0.0000 0.0000
0.0000 3.3528 0.0000
0.0000 0.0000 6.8732
Y Zr Ir Rh
1 1 1 1
Cartesian
0.0000 0.0000 0.0000
0.0000 0.0000 3.4096
1.6764 1.6764 1.8711
1.6764 1.6764 4.9814
```



No. 13
This record from Alexandria via LeMat-Bulk describes a geometry-optimized Pm2MgN2Cl2 structure. The functional is PBE.

* formation energy (no corrections): -10.6 eV/f.u.

```
Pm2MgN2Cl2
1.0
4.0997 0.0000 0.0000
0.0000 4.0997 0.0000
0.0000 0.0000 14.8947
Pm Mg N Cl
4 2 4 4
Cartesian
0.0000 0.0000 1.4991
0.0000 0.0000 13.3956
2.0498 2.0498 5.9482
2.0498 2.0498 8.9464
0.0000 0.0000 7.4473
2.0498 2.0498 0.0000
0.0000 2.0498 0.0000
0.0000 2.0498 7.4473
2.0498 0.0000 0.0000
2.0498 0.0000 7.4473
0.0000 0.0000 4.6353
0.0000 0.0000 10.2594
2.0498 2.0498 2.8120
2.0498 2.0498 12.0826
```



No. 14
This record from Alexandria via LeMat-Bulk describes a geometry-optimized Pr2ZnNi3 structure. The functional is PBE.

* E_form: -0.31 eV per atom

```
Pr2ZnNi3
1.0
0.0000 4.1713 7.2201
3.9294 0.0000 7.2201
3.9294 4.1713 0.0000
Pr Zn Ni
4 2 6
Cartesian
5.9212 4.1713 7.2201
1.9647 2.0856 3.6101
5.8941 6.2569 10.8302
1.9376 4.1713 7.2201
3.9294 4.1713 4.8232
3.9294 4.1713 9.6170
3.9294 2.0568 6.0307
3.9294 4.1713 2.3865
3.9294 2.0568 8.4095
3.9294 6.2858 6.0307
3.9294 4.1713 12.0537
3.9294 6.2858 8.4095
```



No. 15
This record from Alexandria via LeMat-Bulk describes a geometry-optimized PtC2Cl structure. The functional is PBE.

* formation energy (no corrections): 6.6 eV/f.u.
* polymorph energy (0 for the lowest one): 0.0 meV per atom

```
PtC2Cl
1.0
5.2733 0.0000 0.0000
0.0000 5.2733 0.0000
0.0000 0.0000 9.8906
Pt C Cl
4 8 4
Cartesian
0.0000 0.0000 0.0000
0.0000 2.6367 2.4727
2.6367 0.0000 7.4180
2.6367 2.6367 4.9453
0.7080 1.3183 1.2363
1.3183 3.3447 3.7090
1.3183 4.5653 8.6543
1.9286 1.3183 6.1816
3.3447 3.9550 6.1816
3.9550 0.7080 8.6543
3.9550 1.9286 3.7090
4.5653 3.9550 1.2363
0.0000 0.0000 4.9453
0.0000 2.6367 7.4180
2.6367 0.0000 2.4727
2.6367 2.6367 0.0000
```



No. 16
This record from Alexandria via LeMat-Bulk describes a geometry-optimized YZrW2 structure. The functional is PBE.

* E_form: 0.62 eV per atom
* polymorph energy (0 for the lowest one): 414.3 meV per atom

```
YZrW2
1.0
4.0611 0.0000 0.0000
0.0000 4.0611 0.0000
0.0000 0.0000 9.7322
Y Zr W
2 2 4
Cartesian
0.0000 0.0000 0.0000
2.0306 2.0306 4.8661
0.0000 0.0000 4.8661
2.0306 2.0306 0.0000
0.0000 2.0306 2.4331
0.0000 2.0306 7.2992
2.0306 0.0000 2.4331
2.0306 0.0000 7.2992
```



No. 17
This record from Alexandria via LeMat-Bulk describes a geometry-optimized Ga3Cu2Ni8 structure. The functional is PBE.

* E_form: 0.06 eV per atom

```
Ga3Cu2Ni8
1.0
2.3269 1.3434 8.8386
-2.3269 1.3434 8.8386
0.0000 -2.6869 8.8386
Ga Cu Ni
3 2 8
Cartesian
0.0000 0.0000 0.0000
0.0000 0.0000 4.8672
0.0000 0.0000 21.6484
0.0000 0.0000 9.5525
0.0000 0.0000 16.9631
-1.1669 -0.6737 14.9169
0.0000 -1.3474 11.5988
-1.1669 0.6737 11.5988
0.0000 0.0000 7.2110
0.0000 0.0000 19.3047
1.1669 -0.6737 14.9169
0.0000 1.3474 14.9169
1.1669 0.6737 11.5988
```



No. 18
This record from Alexandria via LeMat-Bulk describes a geometry-optimized Zr2SbBr structure. The functional is PBE.

* formation energy (no corrections): -1.8 eV/f.u.
* polymorph energy (0 for the lowest one): 98.9 meV per atom

```
Zr2SbBr
1.0
4.9687 0.0000 0.0000
0.0000 4.9687 0.0000
0.0000 0.0000 3.5278
Zr Sb Br
2 1 1
Cartesian
0.0000 2.4844 0.0000
2.4844 0.0000 0.0000
0.0000 0.0000 1.7639
2.4844 2.4844 1.7639
```



No. 19
This record from Alexandria via LeMat-Bulk describes a geometry-optimized Na2NpTlBr6 structure. The functional is PBE.

* formation energy (no corrections): -13.2 eV/f.u.

```
Na2NpTlBr6
1.0
7.6323 0.0000 0.0000
-3.8149 6.6173 0.0000
-3.8146 -2.2018 7.0500
Na Np Tl Br
2 1 1 6
Cartesian
0.0000 0.0000 0.0000
-3.8159 2.2095 3.7883
0.0006 0.0019 4.0717
-0.0010 4.4096 0.8901
-1.3659 1.7410 2.1758
-2.4859 0.0732 5.5729
-2.6317 4.4295 5.5713
2.1923 0.3139 2.1783
1.3017 2.1240 5.5709
2.9926 4.5650 2.1778
```



No. 20
This record from Alexandria via LeMat-Bulk describes a geometry-optimized SmTm2Sc6 structure. The functional is PBE.

* E_form: 0.07 eV per atom
* polymorph energy (0 for the lowest one): 0.0 meV per atom

```
SmTm2Sc6
1.0
9.1700 0.0000 0.0000
-4.5850 7.9414 0.0000
0.0000 0.0000 3.2883
Sm Tm Sc
1 2 6
Cartesian
0.0000 0.0000 0.0000
0.0000 5.2943 0.0000
4.5850 2.6471 0.0000
-1.5382 2.6643 1.6442
-3.0468 5.2771 1.6442
3.0765 0.0000 1.6442
1.5382 2.6643 1.6442
6.0935 0.0000 1.6442
3.0468 5.2771 1.6442
```



No. 21
This record from Alexandria via LeMat-Bulk describes a geometry-optimized Tl3CuSb2Te6 structure. The functional is PBE.

* formation energy (no corrections): -1.7 eV/f.u.

```
Tl3CuSb2Te6
1.0
3.7817 -6.5668 0.0000
3.7817 6.5668 0.0000
-2.5624 0.0000 7.6365
Tl Cu Sb Te
3 1 2 6
Cartesian
0.0000 0.0000 0.0000
3.7817 2.4351 0.0000
3.7817 -2.4351 0.0000
2.5005 0.0000 3.8183
2.5005 4.4369 3.8183
2.5005 -4.4369 3.8183
1.3658 2.0026 2.2305
0.1282 0.0000 5.5224
1.3658 -2.0026 2.2305
3.6352 2.0026 5.4060
4.8728 0.0000 2.1141
3.6352 -2.0026 5.4060
```



No. 22
This record from Alexandria via LeMat-Bulk describes a geometry-optimized ZrSiSe2 structure. The functional is PBE.

* formation energy (no corrections): -1.6 eV/f.u.

```
ZrSiSe2
1.0
3.6037 0.0000 0.0000
-1.8019 3.1209 0.0000
0.0000 0.0000 21.5940
Zr Si Se
3 3 6
Cartesian
0.0000 0.0000 0.0000
0.0000 2.0806 14.3960
1.8019 1.0403 7.1980
0.0000 0.0000 10.7970
0.0000 2.0806 3.5990
1.8019 1.0403 17.9950
0.0000 0.0000 5.2962
0.0000 0.0000 16.2978
0.0000 2.0806 9.0998
0.0000 2.0806 19.6922
1.8019 1.0403 1.9018
1.8019 1.0403 12.4942
```



No. 23
This record from Alexandria via LeMat-Bulk describes a geometry-optimized BH3F structure. The functional is PBE.

* polymorph energy (0 for the lowest one): 326.1 meV per atom

```
BH3F
1.0
2.6341 1.5208 5.1965
-2.6341 1.5208 5.1965
0.0000 -3.0416 5.1965
B H F
2 6 2
Cartesian
0.0000 0.0000 1.3808
0.0000 0.0000 14.2088
0.0000 -1.9123 5.9908
-1.6561 0.9561 5.9908
-1.6561 -0.9561 9.5988
1.6561 0.9561 5.9908
1.6561 -0.9561 9.5988
0.0000 1.9123 9.5988
0.0000 0.0000 2.7349
0.0000 0.0000 12.8547
```



No. 24
This record from Alexandria via LeMat-Bulk describes a geometry-optimized Tb6CoIr2I3 structure. The functional is PBE.

* formation energy (no corrections): -10.2 eV/f.u.

```
Tb6CoIr2I3
1.0
3.5244 -6.1053 0.0000
3.5244 6.1053 0.0000
-2.3463 0.0000 7.9038
Tb Co Ir I
6 1 2 3
Cartesian
1.1390 1.9733 1.4185
-0.0694 0.0000 6.4787
1.1390 -1.9733 1.4185
3.5635 1.9733 6.4853
4.7719 0.0000 1.4251
3.5635 -1.9733 6.4853
0.0000 0.0000 0.0000
3.5244 2.0331 0.0000
3.5244 -2.0331 0.0000
2.3512 4.0711 3.9519
2.3512 0.0000 3.9519
2.3512 -4.0711 3.9519
```



Number 1: calculated total energy -3.894 eV per atom, magnetization 0.000 μB per atom. Number 2: calculated total energy -5.714 eV per atom, magnetization 0.000 μB per atom. Number 3: calculated total energy -3.425 eV per atom, magnetization 0.000 μB per atom. Number 4: calculated total energy -7.773 eV per atom, magnetization 0.000 μB per atom. Number 5: calculated total energy -5.429 eV per atom, magnetization 0.000 μB per atom. Number 6: calculated total energy -3.834 eV per atom, magnetization 0.000 μB per atom. Number 7: calculated total energy -4.825 eV per atom, magnetization 0.000 μB per atom. Number 8: calculated total energy -2.991 eV per atom, magnetization 0.295 μB per atom. Number 9: calculated total energy -4.660 eV per atom, magnetization 0.941 μB per atom. Number 10: calculated total energy -7.199 eV per atom, magnetization 0.000 μB per atom. Number 11: calculated total energy -3.482 eV per atom, magnetization 0.489 μB per atom. Number 12: calculated total energy -8.626 eV per atom, magnetization 0.000 μB per atom. Number 13: calculated total energy -6.011 eV per atom, magnetization 0.000 μB per atom. Number 14: calculated total energy -5.001 eV per atom, magnetization 0.000 μB per atom. Number 15: calculated total energy -4.936 eV per atom, magnetization 0.000 μB per atom. Number 16: calculated total energy -9.607 eV per atom, magnetization 0.000 μB per atom. Number 17: calculated total energy -4.826 eV per atom, magnetization 0.000 μB per atom. Number 18: calculated total energy -6.182 eV per atom, magnetization 0.000 μB per atom. Number 19: calculated total energy -4.121 eV per atom, magnetization 0.400 μB per atom. Number 20: calculated total energy -5.674 eV per atom, magnetization 0.000 μB per atom. Number 21: calculated total energy -3.331 eV per atom, magnetization 0.000 μB per atom. Number 22: calculated total energy -5.631 eV per atom, magnetization 0.000 μB per atom. Number 23: calculated total energy -3.995 eV per atom, magnetization 0.200 μB per atom. Number 24: calculated total energy -5.621 eV per atom, magnetization 0.000 μB per atom.